w:
VASP calculation (PBE-GGA) on a relaxed structure of SiPd4Pb.

Geometry as extended XYZ:
```
12
Lattice="7.9331 0.0000 0.0000 0.0000 5.7749 0.0000 -0.2679 0.0000 4.5737" Properties=species:S:1:pos:R:3 pbc="T T T"
Si 0.0000 0.0000 0.0000
Si -0.1340 2.8874 2.2868
Pd 1.0280 0.6946 2.1618
Pd 0.8941 2.1929 4.4486
Pd 2.1695 3.4567 2.2046
Pd 2.0355 5.2057 4.4915
Pd 5.6296 0.5692 0.0822
Pd 5.4957 2.3182 2.3691
Pd 6.7711 3.5820 0.1251
Pd 6.6371 5.0803 2.4119
Pb 3.8326 0.0000 2.2868
Pb 3.9665 2.8874 0.0000
```

The calculation puts the size of the total moment at 0.0000 μB/atom.

=====

x:
VASP calculation (PBE-GGA) on a relaxed structure of SiPd4Pb.

Geometry as extended XYZ:
```
24
Lattice="6.9223 0.0000 0.0000 0.0000 3.5507 0.0000 0.0000 0.0000 16.4287" Properties=species:S:1:pos:R:3 pbc="T T T"
Si 1.7309 0.8877 0.8807
Si 1.7302 2.6630 9.0950
Si 5.1921 0.8877 7.3337
Si 5.1914 2.6630 15.5480
Pd 6.9218 0.8877 9.2472
Pd 0.0005 2.6630 7.1815
Pd 0.5326 2.6630 11.4472
Pd 0.8450 2.6630 2.3175
Pd 0.9267 2.6630 15.7397
Pd 2.5345 0.8877 7.5254
Pd 2.6161 0.8877 10.5319
Pd 2.9286 0.8877 3.2329
Pd 3.4607 0.8877 15.3959
Pd 3.4616 2.6630 1.0329
Pd 3.9937 2.6630 13.1958
Pd 4.3061 2.6630 5.8968
Pd 4.3878 2.6630 8.9033
Pd 5.9956 0.8877 0.6890
Pd 6.0773 0.8877 14.1112
Pd 6.3897 0.8877 4.9815
Pb 1.7126 2.6630 5.0650
Pb 1.7485 0.8877 13.2794
Pb 5.1737 2.6630 3.1493
Pb 5.2097 0.8877 11.3637
```

The calculation puts the size of the total moment at 0.0000 μB/atom.

=====

Short version: w is the least stable of them.

=====

w:
VASP calculation (PBE-GGA) on a relaxed structure of SiPd2Pb.

Geometry as extended XYZ:
```
4
Lattice="0.0000 3.2977 3.2977 3.2977 0.0000 3.2977 3.2977 3.2977 0.0000" Properties=species:S:1:pos:R:3 pbc="T T T"
Si 0.0000 0.0000 0.0000
Pd 1.6488 1.6488 1.6488
Pd 4.9465 4.9465 4.9465
Pb 3.2977 3.2977 3.2977
```

The calculation puts the size of the total moment at 0.0000 μB/atom.

=====

x:
VASP calculation (PBE-GGA) on a relaxed structure of SiPd2Pb.

Geometry as extended XYZ:
```
4
Lattice="1.9834 1.1451 5.8375 -1.9834 1.1451 5.8375 0.0000 -2.2902 5.8375" Properties=species:S:1:pos:R:3 pbc="T T T"
Si 0.0000 0.0000 0.0000
Pd 0.0000 0.0000 4.9997
Pd 0.0000 0.0000 12.5129
Pb 0.0000 0.0000 8.7563
```

The calculation puts the size of the total moment at 0.0000 μB/atom.

=====

Short version: w is the least stable of them.

=====

w:
VASP calculation (PBE-GGA) on a relaxed structure of SiPdPb3.

Geometry as extended XYZ:
```
5
Lattice="5.3083 0.0000 0.0000 0.0000 5.3083 0.0000 0.0000 0.0000 5.3083" Properties=species:S:1:pos:R:3 pbc="T T T"
Si 0.0000 0.0000 0.0000
Pd 2.6542 2.6542 2.6542
Pb 0.0000 0.0000 2.6542
Pb 0.0000 2.6542 0.0000
Pb 2.6542 0.0000 0.0000
```

The calculation puts the size of the total moment at 0.0000 μB/atom.

=====

x:
VASP calculation (PBE-GGA) on a relaxed structure of SiPdPb3.

Geometry as extended XYZ:
```
5
Lattice="5.3286 0.0000 0.0000 0.0000 5.3286 0.0000 0.0000 0.0000 5.3286" Properties=species:S:1:pos:R:3 pbc="T T T"
Si 0.0000 0.0000 0.0000
Pd 2.6643 2.6643 2.6643
Pb 0.0000 2.6643 2.6643
Pb 2.6643 0.0000 2.6643
Pb 2.6643 2.6643 0.0000
```

The calculation puts the size of the total moment at 0.0000 μB/atom.

=====

Short version: w is the least stable of them.

=====

w:
VASP calculation (PBE-GGA) on a relaxed structure of SmPd6Pb.

Geometry as extended XYZ:
```
8
Lattice="3.7483 2.1641 3.4459 -3.7483 2.1641 3.4459 0.0000 -4.3282 3.4459" Properties=species:S:1:pos:R:3 pbc="T T T"
Sm 0.0000 0.0000 0.0000
Pd 0.0000 -1.5992 2.9472
Pd -1.3850 0.7996 2.9472
Pd -1.3850 -0.7996 7.3904
Pd 1.3850 0.7996 2.9472
Pd 1.3850 -0.7996 7.3904
Pd 0.0000 1.5993 7.3904
Pb 0.0000 0.0000 5.1688
```

The calculation puts the size of the total moment at 0.0000 μB/atom.

=====

x:
VASP calculation (PBE-GGA) on a relaxed structure of SmPd6Pb.

Geometry as extended XYZ:
```
8
Lattice="4.1587 0.0000 0.0000 0.0000 4.1587 0.0000 0.0000 0.0000 8.2199" Properties=species:S:1:pos:R:3 pbc="T T T"
Sm 0.0000 0.0000 0.0000
Pd 0.0000 2.0794 2.0980
Pd 0.0000 2.0794 6.1219
Pd 2.0794 0.0000 2.0980
Pd 2.0794 0.0000 6.1219
Pd 2.0794 2.0794 0.0000
Pd 2.0794 2.0794 4.1099
Pb 0.0000 0.0000 4.1099
```

The calculation puts the size of the total moment at 0.0000 μB/atom.

=====

Short version: w is the least stable of them.

=====

w:
VASP calculation (PBE-GGA) on a relaxed structure of SnPd8Pb2.

Geometry as extended XYZ:
```
11
Lattice="7.4961 -2.1153 0.0000 7.4961 2.1153 0.0000 -1.8455 0.0000 6.0938" Properties=species:S:1:pos:R:3 pbc="T T T"
Sn 0.0000 0.0000 0.0000
Pd 0.4490 0.0000 2.7376
Pd 0.8533 0.0000 5.6098
Pd 3.7815 0.0000 4.8557
Pd 6.5179 0.0000 1.5626
Pd 6.6289 0.0000 4.5312
Pd 9.3653 0.0000 1.2382
Pd 12.2934 0.0000 0.4840
Pd 12.6978 0.0000 3.3562
Pb 3.7658 0.0000 2.0613
Pb 9.3809 0.0000 4.0325
```

The calculation puts the size of the total moment at 0.0000 μB/atom.

=====

x:
VASP calculation (PBE-GGA) on a relaxed structure of SnPd8Pb2.

Geometry as extended XYZ:
```
11
Lattice="-2.0495 3.9609 6.1123 2.0495 -3.9609 6.1123 2.0495 3.9609 -6.1123" Properties=species:S:1:pos:R:3 pbc="T T T"
Sn 0.0000 0.0000 0.0000
Pd 2.0495 -1.9914 4.1024
Pd 2.0495 0.0000 2.0671
Pd 2.0495 1.9195 0.0000
Pd 0.0000 1.9694 2.0099
Pd 2.0495 1.9914 4.1024
Pd 0.0000 2.0414 6.1123
Pd 0.0000 3.9609 4.0452
Pd 0.0000 5.9523 2.0099
Pb 0.0000 0.0000 4.2042
Pb 0.0000 0.0000 8.0204
```

The calculation puts the size of the total moment at 0.0000 μB/atom.

=====

Short version: w is the least stable of them.

=====

w:
VASP calculation (PBE-GGA) on a relaxed structure of SnPd6Pb.

Geometry as extended XYZ:
```
8
Lattice="4.0773 0.0000 0.0000 0.0000 4.0773 0.0000 0.0000 0.0000 8.1490" Properties=species:S:1:pos:R:3 pbc="T T T"
Sn 0.0000 0.0000 0.0000
Pd 0.0000 2.0386 1.9812
Pd 0.0000 2.0386 6.1678
Pd 2.0386 0.0000 1.9812
Pd 2.0386 0.0000 6.1678
Pd 2.0386 2.0386 0.0000
Pd 2.0386 2.0386 4.0745
Pb 0.0000 0.0000 4.0745
```

The calculation puts the size of the total moment at 0.0000 μB/atom.

=====

x:
VASP calculation (PBE-GGA) on a relaxed structure of SnPd6Pb.

Geometry as extended XYZ:
```
8
Lattice="3.9449 -2.7507 0.0000 3.9449 2.7507 0.0000 -2.4049 0.0000 7.0348" Properties=species:S:1:pos:R:3 pbc="T T T"
Sn 0.0000 0.0000 0.0000
Pd 0.7404 1.3311 4.9447
Pd 2.6450 0.0000 0.4238
Pd 4.7444 1.3311 2.0901
Pd 0.7404 -1.3311 4.9447
Pd 2.8398 0.0000 6.6110
Pd 4.7444 -1.3311 2.0901
Pb 2.7424 0.0000 3.5174
```

The calculation puts the size of the total moment at 0.0000 μB/atom.

=====

Short version: x is the least stable of them.